(1)
Tb7Dy3In, optimized geometry, DFT PBE; energy of formation = 121 kJ/mol of formula units; ρ = 7.96 g/cm3; V = 32.514 A^3/atom
1.0
-2.3218 6.9722 -4.2790
-6.5333 -0.7627 2.3022
4.5690 3.7728 3.6682
Tb Dy In
7 3 1
Cartesian
-5.6894 3.1229 0.6209 Tb
-2.4782 3.4978 -0.5107 Tb
-0.8173 3.4819 4.0566 Tb
0.1553 1.9915 1.1004 Tb
-3.0898 1.5218 2.2833 Tb
2.4176 3.8596 2.9167 Tb
-3.4437 4.9773 2.4238 Tb
-5.0813 5.0755 -2.1907 Dy
-6.0603 6.5759 0.7852 Dy
-2.8039 6.9560 -0.3623 Dy
-0.1788 5.4051 1.2833 In



(2)
Tb2DyIn9, optimized geometry, DFT PBE; energy of formation = -491 kJ/mol of formula units; ρ = 8.37 g/cm3; V = 25.012 A^3/atom
1.0
4.6428 0.0000 0.0000
0.0000 4.6428 0.0000
0.0000 0.0000 13.9240
In Dy Tb
9 1 2
Cartesian
2.3214 0.0000 2.3163 In
0.0000 2.3214 2.3163 In
2.3214 2.3214 4.6398 In
0.0000 2.3214 6.9620 In
2.3214 0.0000 6.9620 In
2.3214 2.3214 0.0000 In
2.3214 0.0000 11.6077 In
2.3214 2.3214 9.2842 In
0.0000 2.3214 11.6077 In
0.0000 0.0000 0.0000 Dy
0.0000 0.0000 4.6404 Tb
0.0000 0.0000 9.2836 Tb



(3)
Tb8DyIn6, optimized geometry, DFT PBE; energy of formation = -318 kJ/mol of formula units; ρ = 7.63 g/cm3; V = 30.800 A^3/atom
1.0
-7.6566 2.7094 -4.0081
-7.5733 -4.8782 0.9367
-6.6342 2.7125 4.2739
Dy In Tb
1 6 8
Cartesian
0.0000 0.0000 0.0000 Dy
-12.9549 -2.4697 -0.8134 In
-13.9906 2.2984 0.9857 In
-10.4473 1.6863 -2.7712 In
-8.9093 3.0134 2.0160 In
-7.8735 -1.7547 0.2169 In
-11.4169 -1.1425 3.9738 In
-8.1570 1.3476 -0.5573 Tb
-8.6293 -0.0835 2.7857 Tb
-10.6570 -2.8077 1.4023 Tb
-10.1538 -1.4448 -2.0459 Tb
-11.7104 1.9885 3.2485 Tb
-11.2071 3.3514 -0.1997 Tb
-13.7072 -0.8039 1.7599 Tb
-13.2349 0.6272 -1.5831 Tb